No. 1
VASP calculation (GGA-PBE) on an optimized crystal structure of Zr2Se3I.

Cell: 3.797 6.605 14.208 Å, 90.00 90.00 90.00°
Sites, in units of the cell vectors:
Zr: 0.000 0.043 0.000
Zr: 0.000 0.431 0.500
Zr: 0.500 0.569 0.000
Zr: 0.500 0.957 0.500
Se: 0.000 0.111 0.614
Se: 0.000 0.384 0.106
Se: 0.000 0.723 0.884
Se: 0.500 0.277 0.384
Se: 0.500 0.616 0.606
Se: 0.500 0.889 0.114
I: 0.000 0.779 0.361
I: 0.500 0.221 0.861

Computed properties:
VASP energy: -6.075 eV/atom
symmetry: Pmn2_1

No. 2
VASP calculation (GGA-PBE) on an optimized crystal structure of PrSiAg2Ge.

Cell: 6.256 6.256 6.256 Å, 139.76 139.76 58.22°
Sites, in units of the cell vectors:
Pr: 0.000 0.000 0.000
Si: 0.388 0.388 0.000
Ag: 0.255 0.755 0.500
Ag: 0.755 0.255 0.500
Ge: 0.607 0.607 0.000

Computed properties:
VASP energy: -4.534 eV/atom
symmetry: I4mm

No. 3
VASP calculation (GGA-PBE) on an optimized crystal structure of Pr2Nd2CIBr2Cl2.

Cell: 9.138 9.138 8.916 Å, 104.04 104.04 25.37°
Sites, in units of the cell vectors:
Pr: 0.002 0.002 0.305
Pr: 0.998 0.998 0.695
Nd: 0.354 0.354 0.425
Nd: 0.646 0.646 0.575
C: 0.500 0.500 0.500
I: 0.500 0.500 0.000
Br: 0.172 0.172 0.826
Br: 0.828 0.828 0.174
Cl: 0.171 0.171 0.361
Cl: 0.829 0.829 0.639

Computed properties:
VASP energy: -5.163 eV/atom
energy above the most stable polymorph in this dataset: 0 meV per atom
symmetry: C2/m

Here are the calculated total magnetic moment numbers, same order: 0.00 0.00 0.17 (μB/f.u.).